DFT (PBE-GGA) results for a relaxed structure of Pu6As2Se3S.

Computed properties:
Uncorrected energy   -114.78 eV/cell
Formation energy without anion corrections   -39.5 kJ per mole of atoms
Symmetry   C2/m, No. 12

Cell: 3.6396 7.2563 11.9191 Å, 65.78 98.78 90.00°
Sites, in units of the cell vectors:
As 0.8109 0.0530 0.6217
As 0.1891 0.9470 0.3783
Se 0.9285 0.2234 0.8570
S 0.5000 0.0000 0.0000
Se 0.0715 0.7766 0.1430
Pu 0.3172 0.7242 0.6344
Pu 0.1013 0.3702 0.2027
Pu 0.6828 0.2758 0.3656
Pu 0.6753 0.6480 0.3506
Pu 0.8987 0.6298 0.7973
Pu 0.3247 0.3520 0.6494
Se 0.5000 0.5000 0.0000

---

DFT (PBE-GGA) results for a relaxed structure of ZrOsBr2.

Computed properties:
Uncorrected energy   -20.56 eV/cell
Formation energy without anion corrections   61.8 kJ per mole of atoms
Polymorph energy (0 for the lowest one)   86.0 kJ per mole of atoms
Symmetry   P4/mmm, No. 123

Cell: 4.3526 4.3526 3.9472 Å, 90.00 90.00 90.00°
Sites, in units of the cell vectors:
Br 0.5000 0.5000 0.0000
Os 0.5000 0.0000 0.5000
Br 0.0000 0.0000 0.0000
Zr 0.0000 0.5000 0.5000

---

DFT (PBE-GGA) results for a relaxed structure of Cs2YPaO6.

Computed properties:
Uncorrected energy   -72.34 eV/cell
Formation energy without anion corrections   -240.5 kJ per mole of atoms
Symmetry   Fm-3m, No. 225

Cell: 6.3652 6.3614 6.3633 Å, 60.02 59.97 89.99°
Sites, in units of the cell vectors:
Y 0.5000 0.5000 0.0000
O 0.2420 0.7580 0.9999
O 0.7580 0.2420 0.0001
Pa 0.0000 0.0000 0.0000
Cs 0.2500 0.7500 0.4999
O 0.7579 0.7580 0.4842
Cs 0.7500 0.2500 0.5001
O 0.7580 0.7579 0.9999
O 0.2420 0.2421 0.0001
O 0.2421 0.2420 0.5158

---

DFT (PBE-GGA) results for a relaxed structure of KCr2Fe.

Computed properties:
Uncorrected energy   -25.26 eV/cell
Polymorph energy (0 for the lowest one)   11.0 kJ per mole of atoms
Symmetry   Cmm2, No. 35
ΔH_f (0 K)   0.887 eV/atom

Cell: 2.6674 2.6674 9.5838 Å, 90.00 90.00 112.46°
Sites, in units of the cell vectors:
Fe 0.0000 0.0000 0.4438
K 0.5000 0.5000 0.7467
Cr 0.0000 0.0000 0.0649
Cr 0.5000 0.5000 0.2447